Record 1
{"formula": "CoHgAsHO5", "functional": "PBE with a Hubbard U", "state": "relaxed", "lattice": [[7.630, 0.000, 0.000], [0.000, 6.258, 0.000], [0.000, 0.000, 8.678]], "species": ["Co", "Co", "Co", "Co", "Hg", "Hg", "Hg", "Hg", "As", "As", "As", "As", "H", "H", "H", "H", "O", "O", "O", "O", "O", "O", "O", "O", "O", "O", "O", "O", "O", "O", "O", "O", "O", "O", "O", "O"], "frac_coords": [[0.000, 0.000, 0.000], [0.000, 0.500, 0.000], [0.500, 0.000, 0.500], [0.500, 0.500, 0.500], [0.115, 0.250, 0.328], [0.385, 0.750, 0.828], [0.615, 0.250, 0.172], [0.885, 0.750, 0.672], [0.145, 0.250, 0.686], [0.355, 0.750, 0.186], [0.645, 0.250, 0.814], [0.855, 0.750, 0.314], [0.232, 0.750, 0.543], [0.268, 0.250, 0.043], [0.732, 0.750, 0.957], [0.768, 0.250, 0.457], [0.020, 0.750, 0.453], [0.132, 0.018, 0.792], [0.132, 0.482, 0.792], [0.145, 0.250, 0.081], [0.165, 0.750, 0.078], [0.335, 0.250, 0.578], [0.355, 0.750, 0.581], [0.368, 0.518, 0.292], [0.368, 0.982, 0.292], [0.480, 0.250, 0.953], [0.520, 0.750, 0.047], [0.632, 0.018, 0.708], [0.632, 0.482, 0.708], [0.645, 0.250, 0.419], [0.665, 0.750, 0.422], [0.835, 0.250, 0.922], [0.855, 0.750, 0.919], [0.868, 0.518, 0.208], [0.868, 0.982, 0.208], [0.980, 0.250, 0.547]], "space_group": "Pnma", "crystal_system": "orthorhombic", "volume_a3_per_atom": 11.5}

Record 2
{"formula": "CoAs4H10O16", "functional": "PBE with a Hubbard U", "state": "relaxed", "lattice": [[5.409, 0.000, 0.000], [-0.336, 7.279, 0.000], [-1.139, -1.500, 7.937]], "species": ["Co", "As", "As", "As", "As", "H", "H", "H", "H", "H", "H", "H", "H", "H", "H", "O", "O", "O", "O", "O", "O", "O", "O", "O", "O", "O", "O", "O", "O", "O", "O"], "frac_coords": [[0.000, 0.000, 0.000], [0.039, 0.323, 0.742], [0.419, 0.827, 0.775], [0.581, 0.173, 0.225], [0.961, 0.677, 0.258], [0.013, 0.360, 0.242], [0.227, 0.131, 0.563], [0.347, 0.320, 0.960], [0.375, 0.907, 0.268], [0.413, 0.430, 0.356], [0.587, 0.570, 0.644], [0.625, 0.093, 0.732], [0.653, 0.680, 0.040], [0.773, 0.869, 0.437], [0.987, 0.640, 0.758], [0.100, 0.223, 0.542], [0.123, 0.813, 0.822], [0.128, 0.487, 0.286], [0.129, 0.833, 0.177], [0.312, 0.409, 0.875], [0.349, 0.162, 0.060], [0.428, 0.633, 0.619], [0.451, 0.022, 0.679], [0.549, 0.978, 0.321], [0.572, 0.367, 0.381], [0.651, 0.838, 0.940], [0.688, 0.591, 0.125], [0.871, 0.167, 0.823], [0.872, 0.513, 0.714], [0.877, 0.187, 0.178], [0.900, 0.777, 0.458]], "space_group": "P-1", "crystal_system": "triclinic", "volume_a3_per_atom": 10.1}

Record 3
{"formula": "Co2AsHO5", "functional": "PBE with a Hubbard U", "state": "relaxed", "lattice": [[8.492, 0.000, 0.000], [0.000, 8.918, 0.000], [0.000, 0.000, 5.978]], "species": ["Co", "Co", "Co", "Co", "Co", "Co", "Co", "Co", "As", "As", "As", "As", "H", "H", "H", "H", "O", "O", "O", "O", "O", "O", "O", "O", "O", "O", "O", "O", "O", "O", "O", "O", "O", "O", "O", "O"], "frac_coords": [[0.000, 0.000, 0.243], [0.000, 0.000, 0.757], [0.126, 0.353, 0.500], [0.374, 0.853, 0.000], [0.500, 0.500, 0.257], [0.500, 0.500, 0.743], [0.626, 0.147, 0.000], [0.874, 0.647, 0.500], [0.182, 0.779, 0.500], [0.318, 0.279, 0.000], [0.682, 0.721, 0.000], [0.818, 0.221, 0.500], [0.197, 0.063, 0.000], [0.303, 0.563, 0.500], [0.697, 0.437, 0.500], [0.803, 0.937, 0.000], [0.023, 0.148, 0.500], [0.102, 0.598, 0.500], [0.110, 0.137, 0.000], [0.226, 0.874, 0.255], [0.226, 0.874, 0.745], [0.274, 0.374, 0.245], [0.274, 0.374, 0.755], [0.390, 0.637, 0.500], [0.398, 0.098, 0.000], [0.477, 0.648, 0.000], [0.523, 0.352, 0.000], [0.602, 0.902, 0.000], [0.610, 0.363, 0.500], [0.726, 0.626, 0.245], [0.726, 0.626, 0.755], [0.774, 0.126, 0.255], [0.774, 0.126, 0.745], [0.890, 0.863, 0.000], [0.898, 0.402, 0.500], [0.977, 0.852, 0.500]], "space_group": "Pnnm", "crystal_system": "orthorhombic", "volume_a3_per_atom": 12.6}

| no. | raw total energy (eV for the cell shown) |
| --- | --- |
| 1 | -188.560 |
| 2 | -170.192 |
| 3 | -209.393 |